Model i:
5
Lattice="6.2674 0.0000 0.0000 0.0000 6.2674 0.0000 0.0000 0.0000 6.2674" Properties=species:S:1:pos:R:3 comment="K3CaB, optimized geometry, DFT PBE-GGA" spacegroup=Pm-3m mass_density_g_cm3=1.1 pbc="T T T"
K 0.0000 0.0000 3.1337
K 0.0000 3.1337 0.0000
K 3.1337 0.0000 0.0000
Ca 3.1337 3.1337 3.1337
B 0.0000 0.0000 0.0000

Model ii:
5
Lattice="7.5364 0.0000 0.0000 0.0000 7.5364 0.0000 0.0000 0.0000 7.5364" Properties=species:S:1:pos:R:3 comment="K3CaB, optimized geometry, DFT PBE-GGA" spacegroup=Pm-3m mass_density_g_cm3=0.7 pbc="T T T"
K 0.0000 0.0000 3.7682
K 0.0000 3.7682 0.0000
K 3.7682 0.0000 0.0000
Ca 0.0000 0.0000 0.0000
B 3.7682 3.7682 3.7682

Q: Which of them is the least stable? A: model ii.

Model i:
5
Lattice="4.7993 0.0000 0.0000 0.0000 4.7993 0.0000 0.0000 0.0000 4.7993" Properties=species:S:1:pos:R:3 comment="CaLaB3, optimized geometry, DFT PBE-GGA" spacegroup=Pm-3m mass_density_g_cm3=3.2 pbc="T T T"
Ca 0.0000 0.0000 0.0000
La 2.3996 2.3996 2.3996
B 0.0000 2.3996 2.3996
B 2.3996 0.0000 2.3996
B 2.3996 2.3996 0.0000

Model ii:
5
Lattice="4.6228 0.0000 0.0000 0.0000 4.6228 0.0000 0.0000 0.0000 4.6228" Properties=species:S:1:pos:R:3 comment="CaLaB3, optimized geometry, DFT PBE-GGA" spacegroup=Pm-3m mass_density_g_cm3=3.6 pbc="T T T"
Ca 0.0000 0.0000 0.0000
La 2.3114 2.3114 2.3114
B 0.0000 0.0000 2.3114
B 0.0000 2.3114 0.0000
B 2.3114 0.0000 0.0000

Q: Which of them is the least stable? A: model i.